(1)
VASP calculation (PBE) on Tb8Si5O after structural relaxation.

```
data_Tb8Si5O
_chemical_formula_sum 'Tb16 Si10 O2'
_symmetry_space_group_name_H-M 'I -4'
_symmetry_Int_Tables_number 82
_cell_length_a 8.516
_cell_length_b 8.516
_cell_length_c 9.036
_cell_angle_alpha 90.00
_cell_angle_beta 90.00
_cell_angle_gamma 90.00
loop_
_symmetry_equiv_pos_as_xyz
'x,y,z'
'y,-x,-z'
'-x,-y,z'
'-y,x,-z'
'x+1/2,y+1/2,z+1/2'
'y+1/2,-x+1/2,-z+1/2'
'-x+1/2,-y+1/2,z+1/2'
'-y+1/2,x+1/2,-z+1/2'
loop_
_atom_site_label
_atom_site_type_symbol
_atom_site_fract_x
_atom_site_fract_y
_atom_site_fract_z
_atom_site_occupancy
Tb1 Tb 0.055 0.216 0.206 1
Tb2 Tb 0.079 0.311 0.581 1
Si1 Si 0.000 0.000 0.500 1
Si2 Si 0.123 0.249 0.888 1
O1 O 0.000 0.500 0.250 1
```

Values from the calculation:
Magnetization, Bohr magnetons per cell: 0.00
Formation energy from raw total energies, eV/atom: -0.882
DFT total energy, eV/atom: -5.818

---

(2)
VASP calculation (PBE) on CdPb2Br2O2 after structural relaxation.

```
data_CdPb2Br2O2
_chemical_formula_sum 'Cd2 Pb4 Br4 O4'
_symmetry_space_group_name_H-M 'I 4/m m m'
_symmetry_Int_Tables_number 139
_symmetry_space_group_name_Hall '-I 4 2'
_cell_length_a 4.398
_cell_length_b 4.398
_cell_length_c 16.591
_cell_angle_alpha 90.00
_cell_angle_beta 90.00
_cell_angle_gamma 90.00
loop_
_atom_site_label
_atom_site_type_symbol
_atom_site_fract_x
_atom_site_fract_y
_atom_site_fract_z
_atom_site_occupancy
Cd1 Cd 0.000 0.000 0.000 1
Pb1 Pb 0.000 0.000 0.400 1
Br1 Br 0.000 0.000 0.178 1
O1 O 0.000 0.500 0.000 1
```

Values from the calculation:
Magnetization, Bohr magnetons per cell: 0.00
Formation energy from raw total energies, eV/atom: -0.910
DFT total energy, eV/atom: -3.995

---

(3)
VASP calculation (PBE) on NaPu2PdS4 after structural relaxation.

```
data_NaPu2PdS4
_chemical_formula_sum 'Na4 Pu8 Pd4 S16'
_symmetry_space_group_name_H-M 'C m c m'
_symmetry_Int_Tables_number 63
_symmetry_space_group_name_Hall '-C 2c 2'
_cell_length_a 3.966
_cell_length_b 12.939
_cell_length_c 13.928
_cell_angle_alpha 90.00
_cell_angle_beta 90.00
_cell_angle_gamma 90.00
loop_
_atom_site_label
_atom_site_type_symbol
_atom_site_fract_x
_atom_site_fract_y
_atom_site_fract_z
_atom_site_occupancy
Na1 Na 0.000 0.114 0.250 1
Pu1 Pu 0.000 0.367 0.067 1
Pd1 Pd 0.000 0.167 0.750 1
S1 S 0.000 0.000 0.000 1
S2 S 0.000 0.271 0.606 1
S3 S 0.000 0.444 0.250 1
```

Values from the calculation:
Magnetization, Bohr magnetons per cell: 36.11
Formation energy from raw total energies, eV/atom: -1.348
DFT total energy, eV/atom: -7.809

---

(4)
VASP calculation (PBE) on Sr3Cr after structural relaxation.

```
data_Sr3Cr
_chemical_formula_sum 'Sr9 Cr3'
_symmetry_space_group_name_H-M 'R -3 m'
_symmetry_Int_Tables_number 166
_symmetry_space_group_name_Hall '-R 3 2"'
_cell_length_a 12.3352
_cell_length_b 12.3352
_cell_length_c 3.9357
_cell_angle_alpha 90.00
_cell_angle_beta 90.00
_cell_angle_gamma 120.00
loop_
_atom_site_label
_atom_site_type_symbol
_atom_site_fract_x
_atom_site_fract_y
_atom_site_fract_z
_atom_site_occupancy
Sr1 Sr 0.0000 0.5000 0.0000 1
Cr1 Cr 0.0000 0.0000 0.0000 1
```

Values from the calculation:
Magnetization, Bohr magnetons per cell: 14.96
Energy of formation from the pure elements, eV per atom: 0.559
DFT total energy, eV/atom: -3.109

---

(5)
VASP calculation (PBE) on Ca2IrOs after structural relaxation.

```
data_Ca2IrOs
_chemical_formula_sum 'Ca2 Ir1 Os1'
_symmetry_space_group_name_H-M 'P 4 m m'
_symmetry_Int_Tables_number 99
_cell_length_a 3.024
_cell_length_b 3.024
_cell_length_c 9.482
_cell_angle_alpha 90.00
_cell_angle_beta 90.00
_cell_angle_gamma 90.00
loop_
_symmetry_equiv_pos_as_xyz
'x,y,z'
'-y,x,z'
'-x,-y,z'
'y,-x,z'
'-x,y,z'
'y,x,z'
'x,-y,z'
'-y,-x,z'
loop_
_atom_site_label
_atom_site_type_symbol
_atom_site_fract_x
_atom_site_fract_y
_atom_site_fract_z
_atom_site_occupancy
Ca1 Ca 0.000 0.000 0.000 1
Ca2 Ca 0.500 0.500 0.372 1
Ir1 Ir 0.000 0.000 0.603 1
Os1 Os 0.500 0.500 0.766 1
```

Values from the calculation:
Magnetization, Bohr magnetons per cell: 0.00
Energy of formation from the pure elements, eV per atom: 0.212
DFT total energy, eV/atom: -5.812
E above lowest polymorph, meV/atom: 217

---

(6)
VASP calculation (PBE) on Th2NiRh after structural relaxation.

```
data_Th2NiRh
_chemical_formula_sum 'Th4 Ni2 Rh2'
_symmetry_space_group_name_H-M 'P 1 21/m 1'
_symmetry_Int_Tables_number 11
_cell_length_a 5.946
_cell_length_b 4.271
_cell_length_c 7.650
_cell_angle_alpha 90.00
_cell_angle_beta 110.42
_cell_angle_gamma 90.00
loop_
_symmetry_equiv_pos_as_xyz
'x,y,z'
'-x,-y,-z'
'-x,y+1/2,-z'
'x,-y+1/2,z'
loop_
_atom_site_label
_atom_site_type_symbol
_atom_site_fract_x
_atom_site_fract_y
_atom_site_fract_z
_atom_site_occupancy
Th1 Th 0.227 0.250 0.436 1
Th2 Th 0.233 0.250 0.935 1
Ni1 Ni 0.317 0.750 0.706 1
Rh1 Rh 0.308 0.750 0.209 1
```

Values from the calculation:
Magnetization, Bohr magnetons per cell: 0.00
Energy of formation from the pure elements, eV per atom: -0.682
DFT total energy, eV/atom: -7.675

---

(7)
VASP calculation (PBE) on Ca8Pd2Pt after structural relaxation.

```
data_Ca8Pd2Pt
_chemical_formula_sum 'Ca16 Pd4 Pt2'
_symmetry_space_group_name_H-M 'C 1 2/m 1'
_symmetry_Int_Tables_number 12
_cell_length_a 18.799
_cell_length_b 4.960
_cell_length_c 7.155
_cell_angle_alpha 90.00
_cell_angle_beta 106.60
_cell_angle_gamma 90.00
loop_
_symmetry_equiv_pos_as_xyz
'x,y,z'
'-x,-y,-z'
'-x,y,-z'
'x,-y,z'
'x+1/2,y+1/2,z'
'-x+1/2,-y+1/2,-z'
'-x+1/2,y+1/2,-z'
'x+1/2,-y+1/2,z'
loop_
_atom_site_label
_atom_site_type_symbol
_atom_site_fract_x
_atom_site_fract_y
_atom_site_fract_z
_atom_site_occupancy
Ca1 Ca 0.034 0.000 0.304 1
Ca2 Ca 0.093 0.500 0.935 1
Ca3 Ca 0.166 0.500 0.465 1
Ca4 Ca 0.211 0.000 0.821 1
Pd1 Pd 0.185 0.000 0.208 1
Pt1 Pt 0.000 0.500 0.500 1
```

Values from the calculation:
Magnetization, Bohr magnetons per cell: 0.00
Energy of formation from the pure elements, eV per atom: -0.472
DFT total energy, eV/atom: -3.421

---

(8)
VASP calculation (PBE) on SbCSe2 after structural relaxation.

```
data_SbCSe2
_chemical_formula_sum 'Sb3 C3 Se6'
_symmetry_space_group_name_H-M 'R -3 m'
_symmetry_Int_Tables_number 166
_symmetry_space_group_name_Hall '-R 3 2"'
_cell_length_a 3.2893
_cell_length_b 3.2893
_cell_length_c 25.5030
_cell_angle_alpha 90.00
_cell_angle_beta 90.00
_cell_angle_gamma 120.00
loop_
_atom_site_label
_atom_site_type_symbol
_atom_site_fract_x
_atom_site_fract_y
_atom_site_fract_z
_atom_site_occupancy
Sb1 Sb 0.0000 0.0000 0.0000 1
C1 C 0.0000 0.0000 0.5000 1
Se1 Se 0.0000 0.0000 0.1129 1
```

Values from the calculation:
Magnetization, Bohr magnetons per cell: 0.00
Formation energy from raw total energies, eV/atom: 1.116
DFT total energy, eV/atom: -3.963
E above lowest polymorph, meV/atom: 245

---

no.,calculated volume (Å³/f.u.)
1,327.65
2,160.42
3,178.68
4,172.87
5,86.72
6,91.02
7,319.70
8,79.66